(1)
5
Lattice="5.229 0.000 0.000 0.000 5.229 0.000 0.000 0.000 5.229" Properties=species:S:1:pos:R:3 comment="TiCd3Se PBE optimized geometry" raw_formation_energy_ev_per_atom=0.88 energy_ev_per_cell=-9.7 rho_g_cm3=5.39 sg="No. 221" magmom_total_mub_per_fu=0.00 pbc="T T T"
Ti 0.000 0.000 0.000
Cd 0.000 2.614 2.614
Cd 2.614 0.000 2.614
Cd 2.614 2.614 0.000
Se 2.614 2.614 2.614


(2)
4
Lattice="3.327 0.000 0.000 0.000 3.327 0.000 0.000 0.000 7.365" Properties=species:S:1:pos:R:3 comment="HfZrTlTc PBE optimized geometry" energy_ev_per_cell=-32.3 rho_g_cm3=11.65 sg="No. 99" magmom_total_mub_per_fu=0.00 formation_energy_kj_per_mol_atoms=-24.6 pbc="T T T"
Hf 0.000 0.000 0.000
Zr 0.000 0.000 3.129
Tl 1.664 1.664 5.254
Tc 1.664 1.664 1.489


(3)
5
Lattice="5.519 0.000 0.000 0.000 5.519 0.000 0.000 0.000 4.010" Properties=species:S:1:pos:R:3 comment="BaMg2TaN PBE optimized geometry" raw_formation_energy_ev_per_atom=0.34 energy_ev_per_cell=-23.6 rho_g_cm3=5.18 sg="No. 123" magmom_total_mub_per_fu=0.00 pbc="T T T"
Ba 0.000 0.000 0.000
Mg 0.000 2.760 2.005
Mg 2.760 0.000 2.005
Ta 2.760 2.760 0.000
N 2.760 2.760 2.005


(4)
10
Lattice="7.935 4.581 1.979 -7.935 4.581 1.979 0.000 -9.163 1.979" Properties=species:S:1:pos:R:3 comment="K3PaTe6 PBE optimized geometry" raw_formation_energy_ev_per_atom=-0.59 energy_ev_per_cell=-37.5 rho_g_cm3=4.29 sg="No. 160" magmom_total_mub_per_fu=0.00 pbc="T T T"
K -3.961 -2.287 1.979
K 3.961 -2.287 1.979
K 0.000 4.574 1.979
Pa 0.000 0.000 2.965
Te 0.000 -2.440 1.233
Te -2.113 1.220 1.233
Te 2.113 1.220 1.233
Te -2.106 -1.216 4.707
Te 2.106 -1.216 4.707
Te 0.000 2.432 4.707


(5)
3
Lattice="3.498 0.000 0.000 -1.749 3.030 0.000 0.000 0.000 8.340" Properties=species:S:1:pos:R:3 comment="LiY2 PBE optimized geometry" energy_ev_per_cell=-14.5 rho_g_cm3=3.47 sg="No. 164" magmom_total_mub_per_fu=0.00 formation_energy_kj_per_mol_atoms=11.6 pbc="T T T"
Li 0.000 0.000 0.000
Y 0.000 2.020 2.746
Y 1.749 1.010 5.594


(6)
6
Lattice="2.756 0.000 0.000 0.000 3.825 0.000 0.000 0.000 8.001" Properties=species:S:1:pos:R:3 comment="CuRhW PBE optimized geometry" energy_ev_per_cell=-48.9 rho_g_cm3=13.79 sg="No. 44" magmom_total_mub_per_fu=0.00 formation_energy_kj_per_mol_atoms=-2.2 pbc="T T T"
Cu 0.000 0.000 0.000
Cu 1.378 1.912 4.000
Rh 0.000 0.000 5.324
Rh 1.378 1.912 1.323
W 0.000 0.000 2.674
W 1.378 1.912 6.675


(7)
16
Lattice="4.099 2.366 7.674 -4.099 2.366 7.674 0.000 -4.733 7.674" Properties=species:S:1:pos:R:3 comment="Rb4CeEr3S8 PBE optimized geometry" raw_formation_energy_ev_per_atom=-1.82 energy_ev_per_cell=-85.7 rho_g_cm3=4.61 sg="No. 166" magmom_total_mub_per_fu=1.00 pbc="T T T"
Rb 0.000 0.000 0.000
Rb -2.049 -1.183 7.674
Rb -2.049 1.183 15.349
Rb 0.000 2.366 7.674
Ce 0.000 0.000 11.511
Er -4.099 0.000 11.511
Er -2.049 1.183 3.837
Er 2.049 1.183 3.837
S -2.108 -1.217 12.987
S 0.000 0.000 5.293
S 0.000 -2.434 10.036
S -2.108 1.217 10.036
S 2.108 -1.217 12.987
S 0.000 2.434 12.987
S 0.000 0.000 17.730
S 2.108 1.217 10.036


(8)
16
Lattice="4.263 0.000 0.000 0.000 4.263 0.000 0.000 0.000 16.919" Properties=species:S:1:pos:R:3 comment="Re2HgS PBE optimized geometry" raw_formation_energy_ev_per_atom=0.89 energy_ev_per_cell=-103.0 rho_g_cm3=13.07 sg="No. 122" magmom_total_mub_per_fu=0.00 pbc="T T T"
Re 0.633 1.066 2.115
Re 1.066 2.764 6.345
Re 1.066 3.630 14.804
Re 1.499 1.066 10.574
Re 2.764 3.197 10.574
Re 3.197 0.633 14.804
Re 3.197 1.499 6.345
Re 3.630 3.197 2.115
Hg 0.000 0.000 8.460
Hg 0.000 2.131 12.689
Hg 2.131 0.000 4.230
Hg 2.131 2.131 0.000
S 0.000 0.000 0.000
S 0.000 2.131 4.230
S 2.131 0.000 12.689
S 2.131 2.131 8.460